(1)
Material: La2Tb5Sc
Method: DFT, PBE-GGA
State: optimized geometry

Geometry as POSCAR:
```
La2Tb5Sc
1.0
4.971 0.000 -0.964
-0.187 4.968 -0.964
-0.513 -0.533 10.654
La Sc Tb
2 1 5
Cartesian
0.938 0.974 4.837 La
3.333 3.461 3.889 La
0.000 0.000 0.000 Sc
0.354 2.948 1.824 Tb
2.392 2.484 -0.964 Tb
1.338 3.971 6.902 Tb
3.918 1.487 6.902 Tb
2.933 0.464 1.824 Tb
```

energy of formation	0.045	eV per atom
space group	I4/mmm

***

(2)
Material: PmSbC
Method: DFT, PBE-GGA
State: optimized geometry

Geometry as POSCAR:
```
PmSbC
1.0
-3.739 0.778 -0.506
-4.494 -0.514 3.045
10.466 7.206 2.828
Sb Pm C
2 2 2
Cartesian
-2.622 2.686 2.066 Sb
-5.131 1.020 3.016 Sb
3.599 3.846 1.712 Pm
2.960 6.212 4.539 Pm
4.973 5.982 2.823 C
5.759 4.954 2.578 C
```

space group	P1
energy relative to the elements, uncorrected	-0.179	eV/atom

***

(3)
Material: BaScTl
Method: DFT, PBE-GGA
State: optimized geometry

Geometry as POSCAR:
```
BaScTl
1.0
7.738 0.000 0.000
0.000 5.009 0.000
0.000 0.000 10.127
Sc Ba Tl
4 4 4
Cartesian
0.708 3.757 9.168 Sc
7.030 1.252 0.959 Sc
3.161 1.252 4.104 Sc
4.577 3.757 6.023 Sc
1.061 3.757 5.727 Ba
6.677 1.252 4.400 Ba
4.930 3.757 9.464 Ba
2.808 1.252 0.663 Ba
4.530 3.757 2.932 Tl
3.208 1.252 7.196 Tl
0.661 3.757 2.132 Tl
7.077 1.252 7.995 Tl
```

energy of formation	0.014	eV per atom
polymorph energy (0 for the lowest one)	0.87	eV/f.u.
space group	Pnma

***

(4)
Material: K5Rb2Cd2
Method: DFT, PBE-GGA
State: optimized geometry

Geometry as POSCAR:
```
K5Rb2Cd2
1.0
8.844 0.000 3.210
0.000 9.399 0.000
0.108 0.000 13.490
K Rb Cd
10 4 4
Cartesian
0.000 0.000 0.000 K
0.706 6.369 2.953 K
4.422 4.699 1.605 K
2.545 6.369 11.677 K
6.967 7.729 13.282 K
1.986 1.670 3.418 K
8.246 3.030 13.746 K
5.129 7.729 4.559 K
6.408 3.030 5.023 K
3.824 1.670 12.141 K
6.543 4.699 9.549 Rb
2.409 4.699 7.151 Rb
6.831 0.000 8.756 Rb
2.121 0.000 7.944 Rb
7.861 5.737 2.854 Cd
3.439 8.361 1.248 Cd
5.405 1.038 1.962 Cd
0.983 3.661 0.357 Cd
```

energy of formation	-0.025	eV per atom
space group	Cmce

***

Density of states at the Fermi level values (in states/eV/f.u.) by entry order: 14.1 1.8 2.6 6.0.